# ThZn9Au2 (GGA-PBE, optimized geometry)
data_ThZn9Au2
_cell_length_a 10.758
_cell_length_b 10.758
_cell_length_c 6.978
_cell_angle_alpha 90.00
_cell_angle_beta 90.00
_cell_angle_gamma 90.00
_space_group_name_H-M_alt 'I 41/a m d'
_space_group_IT_number 141
loop_
_space_group_symop_operation_xyz
'x,y,z'
'-x,-y,-z'
'-y+1/4,x+3/4,z+1/4'
'y+1/4,-x+3/4,-z+1/4'
'-x+1/2,-y,z+1/2'
'x+1/2,y,-z+1/2'
'y+1/4,-x+1/4,z+3/4'
'-y+1/4,x+1/4,-z+3/4'
'x,-y,-z'
'-x,y,z'
'-y+1/4,-x+1/4,-z+3/4'
'y+1/4,x+1/4,z+3/4'
'-x+1/2,y,-z+1/2'
'x+1/2,-y,z+1/2'
'y+1/4,x+3/4,-z+1/4'
'-y+1/4,-x+3/4,z+1/4'
'x+1/2,y+1/2,z+1/2'
'-x+1/2,-y+1/2,-z+1/2'
'-y+3/4,x+1/4,z+3/4'
'y+3/4,-x+1/4,-z+3/4'
'-x,-y+1/2,z'
'x,y+1/2,-z'
'y+3/4,-x+3/4,z+1/4'
'-y+3/4,x+3/4,-z+1/4'
'x+1/2,-y+1/2,-z+1/2'
'-x+1/2,y+1/2,z+1/2'
'-y+3/4,-x+3/4,-z+1/4'
'y+3/4,x+3/4,z+1/4'
'-x,y+1/2,-z'
'x,-y+1/2,z'
'y+3/4,x+1/4,-z+3/4'
'-y+3/4,-x+1/4,z+3/4'
loop_
_atom_site_label
_atom_site_type_symbol
_atom_site_fract_x
_atom_site_fract_y
_atom_site_fract_z
Th1 Th 0.000 0.250 0.375
Zn1 Zn 0.000 0.250 0.875
Zn2 Zn 0.121 0.042 0.672
Au1 Au 0.000 0.000 0.000
# Calculated density ... 9990 kg/m³
# DFT formation energy ... -0.263 eV per atom
# Size of the total moment ... 0.0 μB/cell

# ThZn5Au2 (GGA-PBE, optimized geometry)
data_ThZn5Au2
_cell_length_a 4.023
_cell_length_b 7.460
_cell_length_c 10.035
_cell_angle_alpha 90.00
_cell_angle_beta 90.00
_cell_angle_gamma 90.00
_space_group_name_H-M_alt 'I m m m'
_space_group_IT_number 71
_space_group_name_Hall '-I 2 2'
loop_
_atom_site_label
_atom_site_type_symbol
_atom_site_fract_x
_atom_site_fract_y
_atom_site_fract_z
Th1 Th 0.000 0.000 0.000
Zn1 Zn 0.000 0.183 0.367
Zn2 Zn 0.000 0.500 0.000
Au1 Au 0.000 0.500 0.261
# Calculated density ... 10508 kg/m³
# DFT formation energy ... -0.305 eV per atom
# Size of the total moment ... 0.0 μB/cell

# ThZn4Au12 (GGA-PBE, optimized geometry)
data_ThZn4Au12
_cell_length_a 8.942
_cell_length_b 8.942
_cell_length_c 8.942
_cell_angle_alpha 90.00
_cell_angle_beta 90.00
_cell_angle_gamma 90.00
_space_group_name_H-M_alt 'I m -3'
_space_group_IT_number 204
_space_group_name_Hall '-I 2 2 3'
loop_
_atom_site_label
_atom_site_type_symbol
_atom_site_fract_x
_atom_site_fract_y
_atom_site_fract_z
Th1 Th 0.000 0.000 0.000
Zn1 Zn 0.250 0.250 0.250
Au1 Au 0.000 0.342 0.154
# Calculated density ... 13272 kg/m³
# DFT formation energy ... -0.009 eV per atom
# Size of the total moment ... 0.0 μB/cell